[1]
Material: MnCd2Re
Method: DFT, GGA-PBE
State: optimized geometry

Lattice parameters (Å, degrees): 3.9824 3.9793 4.3321 90.00 90.00 90.00
With the nearest neighbours (Å) after each atom.
Sites, in units of the cell vectors:
Cd1 0.0000 0.0000 0.0000  4 Cd 2.81, 4 Re 2.94, 4 Mn 2.94
Cd2 0.5000 0.5000 0.0000  4 Cd 2.81, 4 Mn 2.94, 4 Re 2.94
Mn1 0.5000 0.0000 0.5000  4 Re 2.81, 8 Cd 2.94
Re1 0.0000 0.5000 0.5000  4 Mn 2.81, 8 Cd 2.94

- Crystal system: tetragonal
- Density of states at the Fermi level: 2.1 states/eV/cell
- Distance to the lowest polymorph of the same formula: 7.56 kcal/mol of atoms
- Calculated formation energy: 0.5683 eV per atom

[2]
Material: Ho4Sb2TeP
Method: DFT, GGA-PBE
State: optimized geometry

Lattice parameters (Å, degrees): 4.2504 7.4176 7.3795 109.19 90.00 90.00
With the nearest neighbours (Å) after each atom.
Sites, in units of the cell vectors:
Ho1 0.5000 0.2295 0.2343  2 P 2.91, 3 Sb 2.99-3.13, 1 Te 3.05
Ho2 0.5000 0.7705 0.7657  2 P 2.91, 3 Sb 2.99-3.13, 1 Te 3.05
Ho3 0.0000 0.2339 0.7552  1 P 2.89, 3 Sb 2.99-3.14, 2 Te 3.05
Ho4 0.0000 0.7661 0.2448  1 P 2.89, 3 Sb 2.99-3.14, 2 Te 3.05
Sb1 0.5000 0.0000 0.5000  6 Ho 2.99
Sb2 0.0000 0.5000 0.5000  6 Ho 3.13-3.14
Te1 0.5000 0.5000 0.0000  6 Ho 3.05
P1 0.0000 0.0000 0.0000  6 Ho 2.89-2.91

- Crystal system: monoclinic
- Density of states at the Fermi level: 1.6 states/eV/cell
- Uncorrected formation energy: -1.277 eV per atom

[3]
Material: TbPmI5
Method: DFT, GGA-PBE
State: optimized geometry

Lattice parameters (Å, degrees): 4.2462 9.3515 14.9065 95.40 90.00 90.00
With the nearest neighbours (Å) after each atom.
Sites, in units of the cell vectors:
Tb1 0.2500 0.4108 0.3423  6 I 3.08-3.18
Tb2 0.7500 0.5892 0.6577  6 I 3.08-3.18
Pm1 0.7500 0.1056 0.1496  7 I 3.18-3.33
Pm2 0.2500 0.8944 0.8504  7 I 3.18-3.33
I1 0.2500 0.0704 0.3068  1 Tb 3.18, 2 Pm 3.20
I2 0.7500 0.1344 0.9288  3 Pm 3.23-3.33
I3 0.7500 0.3228 0.4808  3 Tb 3.13-3.45
I4 0.2500 0.3528 0.1290  1 Tb 3.18, 2 Pm 3.18
I5 0.2500 0.3720 0.7078  2 Tb 3.08
I6 0.7500 0.6280 0.2922  2 Tb 3.08
I7 0.7500 0.6472 0.8710  1 Tb 3.18, 2 Pm 3.18
I8 0.2500 0.6772 0.5192  3 Tb 3.13-3.45
I9 0.2500 0.8656 0.0712  3 Pm 3.23-3.33
I10 0.7500 0.9296 0.6932  1 Tb 3.18, 2 Pm 3.20

- Crystal system: monoclinic
- Density of states at the Fermi level: 4.0 states/eV/cell
- Uncorrected formation energy: -1.344 eV per atom

[4]
Material: PmEr2Rh
Method: DFT, GGA-PBE
State: optimized geometry

Lattice parameters (Å, degrees): 4.6362 4.6362 6.4479 68.93 68.93 60.00
With the nearest neighbours (Å) after each atom.
Sites, in units of the cell vectors:
Pm1 0.0000 0.0000 0.0000  6 Er 3.36
Rh1 0.5000 0.5000 0.5000  6 Er 2.83
Er1 0.7816 0.7816 0.6551  3 Rh 2.83
Er2 0.2184 0.2184 0.3449  3 Rh 2.83

- Crystal system: trigonal
- Density of states at the Fermi level: 4.4 states/eV/cell
- Distance to the lowest polymorph of the same formula: 7.62 kcal/mol of atoms
- Calculated formation energy: -0.1895 eV per atom

Q: density of states at the Fermi level of number 4 (PmEr2Rh)?
A: 4.4 states/eV/cell

Q: Which formula does entry 3 have?
A: TbPmI5

Q: What is the formula in the second record?
A: Ho4Sb2TeP